--- 1 ---
KNiAu2: PBEsol geometry, meta-GGA SCAN.

Values from the calculation:
Calculated density = 9.98 g/cm³
Crystal system = orthorhombic
N(E_F) = 2.68 states/eV/cell

Cell lengths 2.7400, 4.0976, 7.2864 Å; angles 90.00, 90.00, 90.00 degrees
Last column: nearest neighbours and their distance in Å.
Space group Pmm2 (No. 25)
Symmetry-distinct sites (fractional):
K: 0.0000 0.0000 0.0000 [1 per cell]  2 K 2.74
Ni: 0.5000 0.5000 0.3458 [1 per cell]  5 Au 2.55-2.56, 2 Ni 2.74
Au: 0.0000 0.0000 0.4391 [1 per cell]  4 Ni 2.56, 2 Au 2.74
Au: 0.5000 0.5000 0.6964 [1 per cell]  1 Ni 2.55, 2 Au 2.74


--- 2 ---
KNiAu2: PBEsol geometry, meta-GGA SCAN.

Values from the calculation:
Calculated density = 11.22 g/cm³
Crystal system = tetragonal
N(E_F) = 3.07 states/eV/cell

Cell lengths 4.1469, 4.1469, 8.4673 Å; angles 90.00, 90.00, 90.00 degrees
Last column: nearest neighbours and their distance in Å.
Space group I-4m2 (No. 119)
Symmetry-distinct sites (fractional):
K: 0.0000 0.0000 0.0000 [2 per cell]  8 Au 2.93-2.96, 4 Ni 2.96
Ni: 0.0000 0.5000 0.2500 [2 per cell]  8 Au 2.93-2.96, 4 K 2.96
Au: 0.0000 0.0000 0.5000 [2 per cell]  4 K 2.93, 4 Ni 2.96, 4 Au 2.96
Au: 0.0000 0.5000 0.7500 [2 per cell]  4 Ni 2.93, 4 K 2.96, 4 Au 2.96


--- 3 ---
KNiAu2: PBEsol geometry, meta-GGA SCAN.

Values from the calculation:
Calculated density = 11.46 g/cm³
Crystal system = trigonal
N(E_F) = 5.76 states/eV/cell

Cell lengths 2.8909, 2.8909, 29.5245 Å; angles 90.00, 90.00, 120.00 degrees
Last column: nearest neighbours and their distance in Å.
Space group R3m (No. 160, hexagonal axes)
Symmetry-distinct sites (fractional):
K: 0.0000 0.0000 0.0000 [3 per cell]  6 K 2.89, 3 Ni 3.10
Ni: 0.0000 0.0000 0.7553 [3 per cell]  3 Au 2.61, 6 Ni 2.89
Au: 0.0000 0.0000 0.2384 [3 per cell]  9 Au 2.89-2.93
Au: 0.0000 0.0000 0.4902 [3 per cell]  3 Ni 2.61, 6 Au 2.89


We find 1 to be the most stable, with the next structure 252 meV per atom higher.


--- 1 ---
KOs3Au: PBEsol geometry, meta-GGA SCAN.

Values from the calculation:
Calculated density = 11.17 g/cm³
Crystal system = cubic
N(E_F) = 4.89 states/eV/cell

Cell lengths 4.9313, 4.9313, 4.9313 Å; angles 90.00, 90.00, 90.00 degrees
Last column: nearest neighbours and their distance in Å.
Space group Pm-3m (No. 221)
Symmetry-distinct sites (fractional):
K: 0.0000 0.0000 0.0000 [1 per cell]  12 Os 3.49
Os: 0.0000 0.5000 0.5000 [3 per cell]  2 Au 2.47
Au: 0.5000 0.5000 0.5000 [1 per cell]  6 Os 2.47


--- 2 ---
KOs3Au: PBEsol geometry, meta-GGA SCAN.

Values from the calculation:
Calculated density = 14.91 g/cm³
Crystal system = cubic
N(E_F) = 4.59 states/eV/cell

Cell lengths 4.4791, 4.4791, 4.4791 Å; angles 90.00, 90.00, 90.00 degrees
Last column: nearest neighbours and their distance in Å.
Space group Pm-3m (No. 221)
Symmetry-distinct sites (fractional):
K: 0.0000 0.0000 0.0000 [1 per cell]  6 Os 2.24
Os: 0.0000 0.0000 0.5000 [3 per cell]  2 K 2.24
Au: 0.5000 0.5000 0.5000 [1 per cell]  12 Os 3.17


We find 1 to be the most stable, with the next structure 1391 meV per atom higher.